The following is a DFT calculation (GGA-PBE) of a geometry-optimized Dy2ThH structure.

Structure (extended XYZ):
```
4
Lattice="1.7262 0.9966 9.4669 -1.7262 0.9966 9.4669 0.0000 -1.9932 9.4669" Properties=species:S:1:pos:R:3 pbc="T T T"
Dy 0.0000 0.0000 3.3792
Dy 0.0000 0.0000 25.0215
Th 0.0000 0.0000 0.0000
H 0.0000 0.0000 14.2003
```

Output
ΔE to the lowest computed polymorph in eV/f.u.: 0.000

=====

The following is a DFT calculation (GGA-PBE) of a geometry-optimized Be2AsS structure.

Structure (extended XYZ):
```
8
Lattice="-2.5522 2.5522 4.8953 2.5522 -2.5522 4.8953 2.5522 2.5522 -4.8953" Properties=species:S:1:pos:R:3 pbc="T T T"
Be 3.8283 1.1332 -1.2238
Be 1.1332 1.2761 1.2238
Be -1.2761 1.4190 3.6714
Be 1.4190 1.2761 6.1191
As 2.5522 0.0000 2.4476
As 0.0000 0.0000 4.8953
S 0.0000 0.0000 0.0000
S 0.0000 2.5522 2.4476
```

Output
ΔE to the lowest computed polymorph in eV/f.u.: 0.000
Energy relative to the elements, uncorrected in meV per atom: -381.8

=====

The following is a DFT calculation (GGA-PBE) of a geometry-optimized BeCoNi4 structure.

Structure (extended XYZ):
```
6
Lattice="2.4927 0.0000 0.0000 0.0000 2.4927 0.0000 0.0000 0.0000 9.8619" Properties=species:S:1:pos:R:3 pbc="T T T"
Be 0.0000 0.0000 0.0000
Co 1.2464 1.2464 4.9309
Ni 0.0000 0.0000 3.1938
Ni 0.0000 0.0000 6.6680
Ni 1.2464 1.2464 1.3960
Ni 1.2464 1.2464 8.4659
```

Output
ΔE to the lowest computed polymorph in eV/f.u.: 0.000
Formation enthalpy at 0 K in eV per atom: -0.15

=====

The following is a DFT calculation (GGA-PBE) of a geometry-optimized RbAcZnCl6 structure.

Structure (extended XYZ):
```
18
Lattice="7.0985 0.0000 0.0000 -3.5493 6.1475 0.0000 0.0000 0.0000 14.3179" Properties=species:S:1:pos:R:3 pbc="T T T"
Rb 0.0000 0.0000 0.0000
Rb 0.0000 0.0000 7.1590
Ac 0.0000 4.0983 3.5795
Ac 3.5493 2.0492 10.7384
Zn 0.0000 4.0983 10.7384
Zn 3.5493 2.0492 3.5795
Cl -1.0964 2.3970 9.2436
Cl -2.0216 3.9995 12.2332
Cl 1.0964 2.3970 12.2332
Cl -0.9252 5.8985 9.2436
Cl 2.6240 0.2490 2.0847
Cl 1.5276 2.1480 5.0743
Cl 2.0216 3.9995 9.2436
Cl 0.9252 5.8985 12.2332
Cl 4.4745 0.2490 5.0743
Cl 2.4528 3.7505 2.0847
Cl 5.5709 2.1480 2.0847
Cl 4.6457 3.7505 5.0743
```

Output
Energy relative to the elements, uncorrected in meV per atom: -1860.7

=====

no.,density (g/cm3)
1,9.5
2,3.3
3,8.2
4,3.1